Model a:
Material: Hf4CdIn3
Method: DFT, PBE-GGA
State: relaxed

Lattice parameters (Å, degrees): 13.3619 5.3283 5.3280 90.00 113.35 90.00
Space group C2/m (No. 12)
Symmetry-distinct sites (fractional):
Hf  0.1255  0.0000  0.1252
Hf  0.1255  0.5000  0.6255
Cd  0.0000  0.5000  0.0000
In  0.0000  0.0000  0.5000
In  0.2477  0.5000  0.2478

Properties
Crystal system ... monoclinic

---

Model b:
Material: Hf4CdIn3
Method: DFT, PBE-GGA
State: relaxed

Lattice parameters (Å, degrees): 8.7878 6.2764 6.3577 90.00 90.00 90.00
Space group Pmna (No. 53)
Symmetry-distinct sites (fractional):
Hf  0.0000  0.0000  0.0000
Hf  0.0000  0.5000  0.0000
Hf  0.2500  0.2439  0.2500
Cd  0.0000  0.5000  0.5000
In  0.0000  0.0000  0.5000
In  0.2500  0.2565  0.7500

Properties
Crystal system ... orthorhombic

---

Relative energy table, unit kJ/mol of atoms: model a 6.7; model b 0.0

---

Model a:
Material: HfCdIn3
Method: DFT, PBE-GGA
State: relaxed

Lattice parameters (Å, degrees): 5.6458 5.6458 5.6458 90.00 90.00 90.00
Space group Pm-3m (No. 221)
Symmetry-distinct sites (fractional):
Hf  0.0000  0.0000  0.0000
Cd  0.5000  0.5000  0.5000
In  0.0000  0.0000  0.5000

Properties
Crystal system ... cubic

---

Model b:
Material: HfCdIn3
Method: DFT, PBE-GGA
State: relaxed

Lattice parameters (Å, degrees): 5.3222 5.3222 5.3222 90.00 90.00 90.00
Space group Pm-3m (No. 221)
Symmetry-distinct sites (fractional):
Hf  0.0000  0.0000  0.0000
Cd  0.5000  0.5000  0.5000
In  0.0000  0.5000  0.5000

Properties
Crystal system ... cubic

---

Relative energy table, unit kJ/mol of atoms: model a 0.0; model b 23.1

---

Model a:
Material: HfCdIr3
Method: DFT, PBE-GGA
State: relaxed

Lattice parameters (Å, degrees): 4.8414 4.8414 4.8414 90.00 90.00 90.00
Space group Pm-3m (No. 221)
Symmetry-distinct sites (fractional):
Hf  0.0000  0.0000  0.0000
Cd  0.5000  0.5000  0.5000
Ir  0.0000  0.0000  0.5000

Properties
Crystal system ... cubic

---

Model b:
Material: HfCdIr3
Method: DFT, PBE-GGA
State: relaxed

Lattice parameters (Å, degrees): 4.7543 4.7543 4.7543 90.00 90.00 90.00
Space group Pm-3m (No. 221)
Symmetry-distinct sites (fractional):
Hf  0.0000  0.0000  0.0000
Cd  0.5000  0.5000  0.5000
Ir  0.0000  0.5000  0.5000

Properties
Crystal system ... cubic

---

Relative energy table, unit kJ/mol of atoms: model a 0.0; model b 38.9

---

Model a:
Material: HfCd3Ir
Method: DFT, PBE-GGA
State: relaxed

Lattice parameters (Å, degrees): 5.3713 5.3713 5.3713 90.00 90.00 90.00
Space group Pm-3m (No. 221)
Symmetry-distinct sites (fractional):
Hf  0.0000  0.0000  0.0000
Cd  0.0000  0.0000  0.5000
Ir  0.5000  0.5000  0.5000

Properties
Crystal system ... cubic

---

Model b:
Material: HfCd3Ir
Method: DFT, PBE-GGA
State: relaxed

Lattice parameters (Å, degrees): 5.0596 5.0596 5.0596 90.00 90.00 90.00
Space group Pm-3m (No. 221)
Symmetry-distinct sites (fractional):
Hf  0.0000  0.0000  0.0000
Cd  0.0000  0.5000  0.5000
Ir  0.5000  0.5000  0.5000

Properties
Crystal system ... cubic

---

Relative energy table, unit kJ/mol of atoms: model a 97.2; model b 0.0

---

Model a:
Material: K2Hf2Cd
Method: DFT, PBE-GGA
State: relaxed

Lattice parameters (Å, degrees): 11.2236 11.2236 3.0181 90.00 90.00 90.00
Space group P4/mbm (No. 127)
Symmetry-distinct sites (fractional):
K  0.2052  0.2948  0.0000
Hf  0.0841  0.5841  0.5000
Cd  0.0000  0.0000  0.0000

Properties
Crystal system ... tetragonal

---

Model b:
Material: K2Hf2Cd
Method: DFT, PBE-GGA
State: relaxed

Lattice parameters (Å, degrees): 3.9512 3.9512 23.8057 90.00 90.00 90.00
Space group I4/mmm (No. 139)
Symmetry-distinct sites (fractional):
K  0.0000  0.0000  0.1066
Hf  0.0000  0.5000  0.2500
Cd  0.0000  0.0000  0.5000

Properties
Crystal system ... tetragonal

---

Relative energy table, unit kJ/mol of atoms: model a 44.5; model b 0.0

---

Model a:
Material: KHf3Cd
Method: DFT, PBE-GGA
State: relaxed

Lattice parameters (Å, degrees): 5.3823 5.3823 5.3823 90.00 90.00 90.00
Space group Pm-3m (No. 221)
Symmetry-distinct sites (fractional):
K  0.0000  0.0000  0.0000
Hf  0.0000  0.5000  0.5000
Cd  0.5000  0.5000  0.5000

Properties
Crystal system ... cubic

---

Model b:
Material: KHf3Cd
Method: DFT, PBE-GGA
State: relaxed

Lattice parameters (Å, degrees): 4.9665 4.9665 4.9665 90.00 90.00 90.00
Space group Pm-3m (No. 221)
Symmetry-distinct sites (fractional):
K  0.0000  0.0000  0.0000
Hf  0.0000  0.0000  0.5000
Cd  0.5000  0.5000  0.5000

Properties
Crystal system ... cubic

---

Relative energy table, unit kJ/mol of atoms: model a 0.0; model b 61.4

---

Model a:
Material: KHfCdMo2
Method: DFT, PBE-GGA
State: relaxed

Lattice parameters (Å, degrees): 5.1568 5.1568 5.1354 90.00 90.00 90.00
Space group P4/mmm (No. 123)
Symmetry-distinct sites (fractional):
K  0.0000  0.0000  0.0000
Hf  0.5000  0.5000  0.0000
Cd  0.0000  0.0000  0.5000
Mo  0.0000  0.5000  0.5000

Properties
Crystal system ... tetragonal

---

Model b:
Material: KHfCdMo2
Method: DFT, PBE-GGA
State: relaxed

Lattice parameters (Å, degrees): 4.5869 4.5869 4.7794 90.00 90.00 90.00
Space group P4/mmm (No. 123)
Symmetry-distinct sites (fractional):
K  0.0000  0.0000  0.0000
Hf  0.0000  0.0000  0.5000
Cd  0.5000  0.5000  0.5000
Mo  0.0000  0.5000  0.0000

Properties
Crystal system ... tetragonal

---

Relative energy table, unit kJ/mol of atoms: model a 0.0; model b 32.1

---

Model a:
Material: La3HfCd
Method: DFT, PBE-GGA
State: relaxed

Lattice parameters (Å, degrees): 5.7650 5.7650 5.7650 90.00 90.00 90.00
Space group Pm-3m (No. 221)
Symmetry-distinct sites (fractional):
La  0.0000  0.0000  0.5000
Hf  0.0000  0.0000  0.0000
Cd  0.5000  0.5000  0.5000

Properties
Crystal system ... cubic

---

Model b:
Material: La3HfCd
Method: DFT, PBE-GGA
State: relaxed

Lattice parameters (Å, degrees): 5.8462 5.8462 5.8462 90.00 90.00 90.00
Space group Pm-3m (No. 221)
Symmetry-distinct sites (fractional):
La  0.0000  0.0000  0.5000
Hf  0.5000  0.5000  0.5000
Cd  0.0000  0.0000  0.0000

Properties
Crystal system ... cubic

---

Relative energy table, unit kJ/mol of atoms: model a 0.0; model b 36.9

---

Model a:
Material: Li2HfCd2
Method: DFT, PBE-GGA
State: relaxed

Lattice parameters (Å, degrees): 8.0578 8.0578 2.9419 90.00 90.00 90.00
Space group P4/mbm (No. 127)
Symmetry-distinct sites (fractional):
Li  0.1644  0.3356  0.0000
Hf  0.0000  0.0000  0.5000
Cd  0.1356  0.6356  0.5000

Properties
Crystal system ... tetragonal

---

Model b:
Material: Li2HfCd2
Method: DFT, PBE-GGA
State: relaxed

Lattice parameters (Å, degrees): 3.7404 3.7404 14.1253 90.00 90.00 90.00
Space group I4/mmm (No. 139)
Symmetry-distinct sites (fractional):
Li  0.0000  0.5000  0.2500
Hf  0.0000  0.0000  0.0000
Cd  0.0000  0.0000  0.3943

Properties
Crystal system ... tetragonal

---

Relative energy table, unit kJ/mol of atoms: model a 0.0; model b 3.5

---

Model a:
Material: LiHf2Cd2
Method: DFT, PBE-GGA
State: relaxed

Lattice parameters (Å, degrees): 3.1524 3.1524 20.3448 90.00 90.00 90.00
Space group I4/mmm (No. 139)
Symmetry-distinct sites (fractional):
Li  0.0000  0.0000  0.0000
Hf  0.0000  0.0000  0.1984
Cd  0.0000  0.0000  0.4144

Properties
Crystal system ... tetragonal

---

Model b:
Material: LiHf2Cd2
Method: DFT, PBE-GGA
State: relaxed

Lattice parameters (Å, degrees): 8.6939 8.6939 3.0637 90.00 90.00 90.00
Space group P4/mbm (No. 127)
Symmetry-distinct sites (fractional):
Li  0.0000  0.0000  0.0000
Hf  0.1224  0.3776  0.5000
Cd  0.1743  0.6743  0.0000

Properties
Crystal system ... tetragonal

---

Relative energy table, unit kJ/mol of atoms: model a 0.0; model b 36.3

---

Model a:
Material: Lu2HfCd
Method: DFT, PBE-GGA
State: relaxed

Lattice parameters (Å, degrees): 4.6525 4.6525 4.5605 90.00 90.00 90.00
Space group P4/mmm (No. 123)
Symmetry-distinct sites (fractional):
Lu  0.0000  0.5000  0.0000
Hf  0.0000  0.0000  0.5000
Cd  0.5000  0.5000  0.5000

Properties
Crystal system ... tetragonal

---

Model b:
Material: Lu2HfCd
Method: DFT, PBE-GGA
State: relaxed

Lattice parameters (Å, degrees): 3.2241 3.2241 34.7634 90.00 90.00 120.00
Space group R-3m (No. 166, hexagonal axes)
Symmetry-distinct sites (fractional):
Lu  0.0000  0.0000  0.0904
Hf  0.0000  0.0000  0.0000
Cd  0.0000  0.0000  0.5000

Properties
Crystal system ... trigonal

---

Relative energy table, unit kJ/mol of atoms: model a 0.0; model b 25.8

---

Model a:
Material: LuHfCd2
Method: DFT, PBE-GGA
State: relaxed

Lattice parameters (Å, degrees): 7.1511 7.1511 7.1511 90.00 90.00 90.00
Space group Fm-3m (No. 225)
Symmetry-distinct sites (fractional):
Lu  0.0000  0.0000  0.0000
Hf  0.0000  0.0000  0.5000
Cd  0.2500  0.2500  0.2500

Properties
Crystal system ... cubic

---

Model b:
Material: LuHfCd2
Method: DFT, PBE-GGA
State: relaxed

Lattice parameters (Å, degrees): 3.5315 3.5315 7.3243 90.00 90.00 90.00
Space group P4/mmm (No. 123)
Symmetry-distinct sites (fractional):
Lu  0.0000  0.0000  0.0000
Hf  0.0000  0.0000  0.5000
Cd  0.5000  0.5000  0.2608

Properties
Crystal system ... tetragonal

---

Model c:
Material: LuHfCd2
Method: DFT, PBE-GGA
State: relaxed

Lattice parameters (Å, degrees): 3.3044 3.3044 30.2896 90.00 90.00 120.00
Space group R-3m (No. 166, hexagonal axes)
Symmetry-distinct sites (fractional):
Lu  0.0000  0.0000  0.0000
Hf  0.0000  0.0000  0.5000
Cd  0.0000  0.0000  0.2480

Properties
Crystal system ... trigonal

---

Relative energy table, unit kJ/mol of atoms: model a 2.5; model b 0.0; model c 8.4

---

Model a:
Material: HfMgCd3
Method: DFT, PBE-GGA
State: relaxed

Lattice parameters (Å, degrees): 4.9905 4.9905 4.9905 90.00 90.00 90.00
Space group Pm-3m (No. 221)
Symmetry-distinct sites (fractional):
Hf  0.0000  0.0000  0.0000
Mg  0.5000  0.5000  0.5000
Cd  0.0000  0.5000  0.5000

Properties
Crystal system ... cubic

---

Model b:
Material: HfMgCd3
Method: DFT, PBE-GGA
State: relaxed

Lattice parameters (Å, degrees): 5.5663 5.5663 5.5663 90.00 90.00 90.00
Space group Pm-3m (No. 221)
Symmetry-distinct sites (fractional):
Hf  0.0000  0.0000  0.0000
Mg  0.5000  0.5000  0.5000
Cd  0.0000  0.0000  0.5000

Properties
Crystal system ... cubic

---

Relative energy table, unit kJ/mol of atoms: model a 0.0; model b 9.1